[1]
This record from Alexandria describes a relaxed structure of LaTa2Se. The functional is GGA-PBE.

Computed properties:
* total DFT energy (no corrections): -8.006 eV per atom
* DOS at the Fermi energy: 9.10 states/eV per cell

abc: 3.101 4.987 11.311
angles: 90.00 90.00 90.00
Space group Immm (No. 71)
Unique sites:
La (0.000, 0.000, 0.000) [2 per cell]
Ta (0.000, 0.500, 0.209) [4 per cell]
Se (0.000, 0.000, 0.500) [2 per cell]

***

[2]
This record from Alexandria describes a relaxed structure of HoGaRh. The functional is GGA-PBE.

Computed properties:
* total DFT energy (no corrections): -5.669 eV per atom
* DOS at the Fermi energy: 4.77 states/eV per cell

abc: 6.360 6.360 6.360
angles: 90.00 90.00 90.00
Space group F-43m (No. 216)
Unique sites:
Ho (0.000, 0.000, 0.000) [4 per cell]
Ga (0.000, 0.000, 0.500) [4 per cell]
Rh (0.250, 0.250, 0.250) [4 per cell]